# Tb12Tc3H5 (PBE, relaxed)
# Crystal system: cubic
# DFT total energy (eV per cell): -428.3
data_Tb12Tc3H5
_space_group_name_H-M_alt 'P 1'
_space_group_IT_number 1
_cell_length_a 13.1400
_cell_length_b 13.1400
_cell_length_c 13.1400
_cell_angle_alpha 109.47
_cell_angle_beta 109.47
_cell_angle_gamma 109.47
loop_
_space_group_symop_operation_xyz
'x,y,z'
loop_
_atom_site_label
_atom_site_type_symbol
_atom_site_fract_x
_atom_site_fract_y
_atom_site_fract_z
_atom_site_occupancy
Tb1 Tb 0.0289 0.2171 0.1228 1
Tb2 Tb 0.0289 0.3118 0.9061 1
Tb3 Tb 0.0939 0.6228 0.4056 1
Tb4 Tb 0.0944 0.7171 0.6882 1
Tb5 Tb 0.0944 0.8772 0.4061 1
Tb6 Tb 0.0939 0.9711 0.6882 1
Tb7 Tb 0.1228 0.0289 0.2171 1
Tb8 Tb 0.1228 0.5939 0.9056 1
Tb9 Tb 0.1882 0.2171 0.5944 1
Tb10 Tb 0.1882 0.4711 0.5939 1
Tb11 Tb 0.2171 0.1228 0.0289 1
Tb12 Tb 0.2171 0.5944 0.1882 1
Tb13 Tb 0.2829 0.3118 0.9056 1
Tb14 Tb 0.2829 0.4711 0.3772 1
Tb15 Tb 0.3118 0.9061 0.0289 1
Tb16 Tb 0.3118 0.9056 0.2829 1
Tb17 Tb 0.3772 0.2829 0.4711 1
Tb18 Tb 0.3772 0.5944 0.9061 1
Tb19 Tb 0.4056 0.0939 0.6228 1
Tb20 Tb 0.4061 0.0944 0.8772 1
Tb21 Tb 0.4061 0.8118 0.5289 1
Tb22 Tb 0.4056 0.8118 0.7829 1
Tb23 Tb 0.4711 0.3772 0.2829 1
Tb24 Tb 0.4711 0.5939 0.1882 1
Tb25 Tb 0.5289 0.4061 0.8118 1
Tb26 Tb 0.5289 0.6228 0.7171 1
Tb27 Tb 0.5944 0.1882 0.2171 1
Tb28 Tb 0.5939 0.1882 0.4711 1
Tb29 Tb 0.5939 0.9056 0.1228 1
Tb30 Tb 0.5944 0.9061 0.3772 1
Tb31 Tb 0.6228 0.4056 0.0939 1
Tb32 Tb 0.6228 0.7171 0.5289 1
Tb33 Tb 0.6882 0.0944 0.7171 1
Tb34 Tb 0.6882 0.0939 0.9711 1
Tb35 Tb 0.7171 0.5289 0.6228 1
Tb36 Tb 0.7171 0.6882 0.0944 1
Tb37 Tb 0.7829 0.4056 0.8118 1
Tb38 Tb 0.7829 0.8772 0.9711 1
Tb39 Tb 0.8118 0.5289 0.4061 1
Tb40 Tb 0.8118 0.7829 0.4056 1
Tb41 Tb 0.8772 0.4061 0.0944 1
Tb42 Tb 0.8772 0.9711 0.7829 1
Tb43 Tb 0.9061 0.0289 0.3118 1
Tb44 Tb 0.9056 0.1228 0.5939 1
Tb45 Tb 0.9056 0.2829 0.3118 1
Tb46 Tb 0.9061 0.3772 0.5944 1
Tb47 Tb 0.9711 0.6882 0.0939 1
Tb48 Tb 0.9711 0.7829 0.8772 1
Tc1 Tc 0.1250 0.2500 0.3750 1
Tc2 Tc 0.1250 0.3750 0.7500 1
Tc3 Tc 0.2500 0.3750 0.1250 1
Tc4 Tc 0.2500 0.8750 0.6250 1
Tc5 Tc 0.3750 0.1250 0.2500 1
Tc6 Tc 0.3750 0.7500 0.1250 1
Tc7 Tc 0.6250 0.2500 0.8750 1
Tc8 Tc 0.6250 0.8750 0.7500 1
Tc9 Tc 0.7500 0.1250 0.3750 1
Tc10 Tc 0.7500 0.6250 0.8750 1
Tc11 Tc 0.8750 0.6250 0.2500 1
Tc12 Tc 0.8750 0.7500 0.6250 1
H1 H 0.0000 0.0000 0.0000 1
H2 H 0.0000 0.0000 0.5000 1
H3 H 0.0000 0.5000 0.0000 1
H4 H 0.0000 0.5000 0.5000 1
H5 H 0.1250 0.7500 0.8750 1
H6 H 0.1250 0.8750 0.2500 1
H7 H 0.2500 0.1250 0.8750 1
H8 H 0.2500 0.6250 0.3750 1
H9 H 0.3750 0.2500 0.6250 1
H10 H 0.3750 0.6250 0.7500 1
H11 H 0.5000 0.0000 0.0000 1
H12 H 0.5000 0.0000 0.5000 1
H13 H 0.5000 0.5000 0.0000 1
H14 H 0.5000 0.5000 0.5000 1
H15 H 0.6250 0.3750 0.2500 1
H16 H 0.6250 0.7500 0.3750 1
H17 H 0.7500 0.3750 0.6250 1
H18 H 0.7500 0.8750 0.1250 1
H19 H 0.8750 0.1250 0.7500 1
H20 H 0.8750 0.2500 0.1250 1

=====

# CaAsSe2 (PBE, relaxed)
# Crystal system: orthorhombic
# Uncorrected formation energy (eV per atom): -0.5473
data_CaAsSe2
_space_group_name_H-M_alt 'P 1'
_space_group_IT_number 1
_cell_length_a 4.2902
_cell_length_b 4.2902
_cell_length_c 7.6746
_cell_angle_alpha 90.00
_cell_angle_beta 90.00
_cell_angle_gamma 125.16
loop_
_space_group_symop_operation_xyz
'x,y,z'
loop_
_atom_site_label
_atom_site_type_symbol
_atom_site_fract_x
_atom_site_fract_y
_atom_site_fract_z
_atom_site_occupancy
Ca1 Ca 0.0000 0.0000 0.0000 1
As1 As 0.0000 0.0000 0.5000 1
Se1 Se 0.5000 0.5000 0.2641 1
Se2 Se 0.5000 0.5000 0.7359 1

=====

# SrCeDy4Se8 (PBE, relaxed)
# Crystal system: trigonal
# Uncorrected formation energy (eV per atom): -1.7769
data_SrCeDy4Se8
_space_group_name_H-M_alt 'P 1'
_space_group_IT_number 1
_cell_length_a 8.6343
_cell_length_b 8.6343
_cell_length_c 8.6343
_cell_angle_alpha 59.26
_cell_angle_beta 59.26
_cell_angle_gamma 59.26
loop_
_space_group_symop_operation_xyz
'x,y,z'
loop_
_atom_site_label
_atom_site_type_symbol
_atom_site_fract_x
_atom_site_fract_y
_atom_site_fract_z
_atom_site_occupancy
Sr1 Sr 0.0000 0.0000 0.0000 1
Ce1 Ce 0.6270 0.6270 0.6270 1
Dy1 Dy 0.1216 0.6278 0.6278 1
Dy2 Dy 0.2518 0.2518 0.2518 1
Dy3 Dy 0.6278 0.1216 0.6278 1
Dy4 Dy 0.6278 0.6278 0.1216 1
Se1 Se 0.3771 0.3771 0.8576 1
Se2 Se 0.3771 0.8576 0.3771 1
Se3 Se 0.3838 0.3838 0.3838 1
Se4 Se 0.4157 0.8682 0.8682 1
Se5 Se 0.8576 0.3771 0.3771 1
Se6 Se 0.8625 0.8625 0.8625 1
Se7 Se 0.8682 0.4157 0.8682 1
Se8 Se 0.8682 0.8682 0.4157 1

=====

# CeAsRhSe (PBE, relaxed)
# Crystal system: tetragonal
# Uncorrected formation energy (eV per atom): -1.0703
data_CeAsRhSe
_space_group_name_H-M_alt 'P 1'
_space_group_IT_number 1
_cell_length_a 4.1652
_cell_length_b 4.1652
_cell_length_c 9.3174
_cell_angle_alpha 90.00
_cell_angle_beta 90.00
_cell_angle_gamma 90.00
loop_
_space_group_symop_operation_xyz
'x,y,z'
loop_
_atom_site_label
_atom_site_type_symbol
_atom_site_fract_x
_atom_site_fract_y
_atom_site_fract_z
_atom_site_occupancy
Ce1 Ce 0.2500 0.2500 0.2308 1
Ce2 Ce 0.7500 0.7500 0.7692 1
As1 As 0.2500 0.2500 0.6564 1
As2 As 0.7500 0.7500 0.3436 1
Rh1 Rh 0.2500 0.7500 0.5000 1
Rh2 Rh 0.7500 0.2500 0.5000 1
Se1 Se 0.2500 0.7500 0.0000 1
Se2 Se 0.7500 0.2500 0.0000 1

=====

# Pm3Nd2Ir2 (PBE, relaxed)
# Crystal system: monoclinic
# DFT total energy (eV per cell): -45.0
data_Pm3Nd2Ir2
_space_group_name_H-M_alt 'P 1'
_space_group_IT_number 1
_cell_length_a 6.5266
_cell_length_b 6.5266
_cell_length_c 9.1773
_cell_angle_alpha 114.84
_cell_angle_beta 114.84
_cell_angle_gamma 35.05
loop_
_space_group_symop_operation_xyz
'x,y,z'
loop_
_atom_site_label
_atom_site_type_symbol
_atom_site_fract_x
_atom_site_fract_y
_atom_site_fract_z
_atom_site_occupancy
Pm1 Pm 0.0000 0.0000 0.0000 1
Pm2 Pm 0.1178 0.1178 0.4280 1
Pm3 Pm 0.8822 0.8822 0.5720 1
Nd1 Nd 0.3310 0.3310 0.1912 1
Nd2 Nd 0.6690 0.6690 0.8088 1
Ir1 Ir 0.3219 0.3219 0.7579 1
Ir2 Ir 0.6781 0.6781 0.2421 1

=====

# SiSb2P (PBE, relaxed)
# Crystal system: cubic
# Uncorrected formation energy (eV per atom): 0.5425
# Relative energy among the computed polymorphs (eV/atom): 0.471
data_SiSb2P
_space_group_name_H-M_alt 'P 1'
_space_group_IT_number 1
_cell_length_a 4.9064
_cell_length_b 4.9064
_cell_length_c 4.9064
_cell_angle_alpha 60.00
_cell_angle_beta 60.00
_cell_angle_gamma 60.00
loop_
_space_group_symop_operation_xyz
'x,y,z'
loop_
_atom_site_label
_atom_site_type_symbol
_atom_site_fract_x
_atom_site_fract_y
_atom_site_fract_z
_atom_site_occupancy
Si1 Si 0.0000 0.0000 0.0000 1
Sb1 Sb 0.2500 0.2500 0.2500 1
Sb2 Sb 0.7500 0.7500 0.7500 1
P1 P 0.5000 0.5000 0.5000 1

=====

# Li4Hg3Au3 (PBE, relaxed)
# Crystal system: cubic
# DFT total energy (eV per cell): -43.2
data_Li4Hg3Au3
_space_group_name_H-M_alt 'P 1'
_space_group_IT_number 1
_cell_length_a 8.0572
_cell_length_b 8.0572
_cell_length_c 8.0572
_cell_angle_alpha 109.47
_cell_angle_beta 109.47
_cell_angle_gamma 109.47
loop_
_space_group_symop_operation_xyz
'x,y,z'
loop_
_atom_site_label
_atom_site_type_symbol
_atom_site_fract_x
_atom_site_fract_y
_atom_site_fract_z
_atom_site_occupancy
Li1 Li 0.0000 0.2914 0.5000 1
Li2 Li 0.0000 0.7914 0.5000 1
Li3 Li 0.2086 0.2086 0.2086 1
Li4 Li 0.2914 0.5000 0.0000 1
Li5 Li 0.5000 0.0000 0.2914 1
Li6 Li 0.5000 0.0000 0.7914 1
Li7 Li 0.7086 0.7086 0.7086 1
Li8 Li 0.7914 0.5000 0.0000 1
Hg1 Hg 0.1250 0.7500 0.8750 1
Hg2 Hg 0.2500 0.6250 0.3750 1
Hg3 Hg 0.3750 0.2500 0.6250 1
Hg4 Hg 0.6250 0.3750 0.2500 1
Hg5 Hg 0.7500 0.8750 0.1250 1
Hg6 Hg 0.8750 0.1250 0.7500 1
Au1 Au 0.1250 0.8750 0.2500 1
Au2 Au 0.2500 0.1250 0.8750 1
Au3 Au 0.3750 0.6250 0.7500 1
Au4 Au 0.6250 0.7500 0.3750 1
Au5 Au 0.7500 0.3750 0.6250 1
Au6 Au 0.8750 0.2500 0.1250 1

=====

# CeAlRu (PBE, relaxed)
# Crystal system: hexagonal
# DFT total energy (eV per cell): -20.0
data_CeAlRu
_space_group_name_H-M_alt 'P 1'
_space_group_IT_number 1
_cell_length_a 4.3598
_cell_length_b 4.3598
_cell_length_c 3.7670
_cell_angle_alpha 90.00
_cell_angle_beta 90.00
_cell_angle_gamma 120.00
loop_
_space_group_symop_operation_xyz
'x,y,z'
loop_
_atom_site_label
_atom_site_type_symbol
_atom_site_fract_x
_atom_site_fract_y
_atom_site_fract_z
_atom_site_occupancy
Ce1 Ce 0.0000 0.0000 0.0000 1
Al1 Al 0.3333 0.6667 0.5000 1
Ru1 Ru 0.6667 0.3333 0.5000 1

=====

# TePt2Se (PBE, relaxed)
# Crystal system: orthorhombic
# Uncorrected formation energy (eV per atom): -0.2030
# Relative energy among the computed polymorphs (eV/atom): 0.108
data_TePt2Se
_space_group_name_H-M_alt 'P 1'
_space_group_IT_number 1
_cell_length_a 4.0707
_cell_length_b 4.7533
_cell_length_c 4.7533
_cell_angle_alpha 67.47
_cell_angle_beta 90.00
_cell_angle_gamma 90.00
loop_
_space_group_symop_operation_xyz
'x,y,z'
loop_
_atom_site_label
_atom_site_type_symbol
_atom_site_fract_x
_atom_site_fract_y
_atom_site_fract_z
_atom_site_occupancy
Te1 Te 0.0000 0.0000 0.0000 1
Pt1 Pt 0.0000 0.4388 0.4388 1
Pt2 Pt 0.5000 0.2085 0.2085 1
Se1 Se 0.5000 0.6357 0.6357 1

=====

# Ba5CdAu2 (PBE, relaxed)
# Crystal system: tetragonal
# DFT total energy (eV per cell): -41.6
data_Ba5CdAu2
_space_group_name_H-M_alt 'P 1'
_space_group_IT_number 1
_cell_length_a 10.3341
_cell_length_b 10.3341
_cell_length_c 10.3341
_cell_angle_alpha 127.90
_cell_angle_beta 127.90
_cell_angle_gamma 76.78
loop_
_space_group_symop_operation_xyz
'x,y,z'
loop_
_atom_site_label
_atom_site_type_symbol
_atom_site_fract_x
_atom_site_fract_y
_atom_site_fract_z
_atom_site_occupancy
Ba1 Ba 0.0000 0.0000 0.0000 1
Ba2 Ba 0.0284 0.5284 0.8304 1
Ba3 Ba 0.1980 0.0284 0.5000 1
Ba4 Ba 0.3020 0.8020 0.8304 1
Ba5 Ba 0.4716 0.3020 0.5000 1
Ba6 Ba 0.5000 0.5000 0.0000 1
Ba7 Ba 0.5284 0.6980 0.5000 1
Ba8 Ba 0.6980 0.1980 0.1696 1
Ba9 Ba 0.8020 0.9716 0.5000 1
Ba10 Ba 0.9716 0.4716 0.1696 1
Cd1 Cd 0.2500 0.2500 0.0000 1
Cd2 Cd 0.7500 0.7500 0.0000 1
Au1 Au 0.1296 0.3704 0.5000 1
Au2 Au 0.3704 0.8704 0.2408 1
Au3 Au 0.6296 0.1296 0.7592 1
Au4 Au 0.8704 0.6296 0.5000 1

=====

Calculated values (states/eV per cell) of N(E_F) for the records, taken in order: 52.32, 1.79, 10.71, 9.39, 7.35, 3.39, 6.80, 4.99, 2.43, 15.01.